(1)
Density functional theory data (PBE) for In2CuHgI after structural relaxation.

As for the energy relative to the elements, uncorrected: -38 kJ/mol of formula units.

a b c (Å): 5.2892 5.2892 5.1823
angles (deg): 90.00 90.00 90.00
With the nearest neighbours (Å) after each atom.
Space group P4/mmm (No. 123)
Unique sites:
1 In 0.0000 0.5000 0.0000 x2  2 Cu 2.64
2 Cu 0.0000 0.0000 0.0000 x1  2 Hg 2.59, 4 In 2.64
3 Hg 0.0000 0.0000 0.5000 x1  2 Cu 2.59
4 I 0.5000 0.5000 0.5000 x1  8 In 3.70, 4 Hg 3.74

(2)
Density functional theory data (PBE) for InGaPd5 after structural relaxation.

The excess energy over the best structure of this formula in the dataset comes out at 0.000 eV/atom. The value obtained for the formation enthalpy at 0 K is -0.379 eV/atom.

a b c (Å): 5.7353 7.2221 5.8424
angles (deg): 90.00 90.00 90.00
With the nearest neighbours (Å) after each atom.
Space group Cmmm (No. 65)
Unique sites:
1 In 0.0000 0.0000 0.0000 x2  10 Pd 2.74-2.92
2 Ga 0.0000 0.5000 0.5000 x2  10 Pd 2.72-2.87
3 Pd 0.0000 0.0000 0.5000 x2  8 Pd 2.72, 2 Ga 2.87, 2 In 2.92
4 Pd 0.2500 0.2500 0.2527 x8  6 Pd 2.72-2.95, 2 Ga 2.72, 2 In 2.74

(3)
Density functional theory data (PBE) for Ac4Nd2Dy after structural relaxation.

The value obtained for the formation enthalpy at 0 K is 0.223 eV/atom.

a b c (Å): 6.2557 24.6017 3.7433
angles (deg): 90.00 90.00 90.00
With the nearest neighbours (Å) after each atom.
Space group Cmmm (No. 65)
Unique sites:
1 Ac 0.0000 0.0779 0.0000 x4  2 Dy 3.67, 7 Ac 3.74-3.92, 2 Nd 3.84
2 Ac 0.0000 0.3640 0.5000 x4  3 Nd 3.67-3.68, 6 Ac 3.74-3.92, 2 Dy 3.83
3 Nd 0.0000 0.2143 0.5000 x4  4 Nd 3.59-3.74, 5 Ac 3.67-3.84
4 Dy 0.0000 0.5000 0.0000 x2  8 Ac 3.67-3.83, 2 Dy 3.74